Density functional theory data (GGA-PBE) for a geometry-optimized Y2TlTcTe structure.

CIF file:
```
data_Y2TlTcTe
_chemical_formula_sum 'Y2 Tl1 Tc1 Te1'
_cell_length_a 5.6542
_cell_length_b 4.8731
_cell_length_c 5.6542
_cell_angle_alpha 90.00
_cell_angle_beta 90.00
_cell_angle_gamma 90.00
_space_group_name_H-M_alt 'P 1'
_space_group_IT_number 1
_space_group_name_Hall 'P 1'
loop_
_atom_site_label
_atom_site_type_symbol
_atom_site_fract_x
_atom_site_fract_y
_atom_site_fract_z
Y1 Y 0.0000 0.0000 0.5000
Y2 Y 0.5000 0.0000 0.0000
Tl1 Tl 0.5000 0.5000 0.5000
Te1 Te 0.0000 0.0000 0.0000
Tc1 Tc 0.0000 0.5000 0.0000
```

Calculated values
* SG: P4/mmm
* ΔE_f (raw): 33 kJ per mole of atoms
* DOS(E_F): 4.3 states/eV per cell
* volume: 31.16 A^3/atom
* E: -5.419 eV/atom

---

Density functional theory data (GGA-PBE) for a geometry-optimized Tm6Tc2Te structure.

CIF file:
```
data_Tm6Tc2Te
_chemical_formula_sum 'Tm12 Tc4 Te2'
_cell_length_a 8.4459
_cell_length_b 8.4459
_cell_length_c 8.4459
_cell_angle_alpha 104.61
_cell_angle_beta 112.09
_cell_angle_gamma 111.82
_space_group_name_H-M_alt 'P 1'
_space_group_IT_number 1
_space_group_name_Hall 'P 1'
loop_
_atom_site_label
_atom_site_type_symbol
_atom_site_fract_x
_atom_site_fract_y
_atom_site_fract_z
Tm1 Tm 0.5408 0.8177 0.7231
Tm2 Tm 0.4592 0.1823 0.2769
Tm3 Tm 0.0946 0.8177 0.2769
Tm4 Tm 0.9054 0.1823 0.7231
Tm5 Tm 0.7898 0.0355 0.2457
Tm6 Tm 0.2102 0.9645 0.7543
Tm7 Tm 0.2102 0.4558 0.2457
Tm8 Tm 0.7898 0.5442 0.7543
Tm9 Tm 0.6829 0.3329 0.0158
Tm10 Tm 0.3171 0.6671 0.9842
Tm11 Tm 0.3171 0.3329 0.6500
Tm12 Tm 0.6829 0.6671 0.3500
Tc1 Tc 0.5000 0.1174 0.6174
Tc2 Tc 0.5000 0.8826 0.3826
Tc3 Tc 0.6694 0.6694 0.0000
Tc4 Tc 0.3306 0.3306 0.0000
Te1 Te 0.0000 0.5000 0.5000
Te2 Te 0.0000 0.0000 0.0000
```

Calculated values
* SG: Immm
* ΔE_f (raw): -32 kJ per mole of atoms
* DOS(E_F): 17.7 states/eV per cell
* volume: 25.63 A^3/atom
* E: -5.962 eV/atom